An optimized crystal structure of MgCuS2Cl. Source: the Alexandria database, functional PBEsol.

Properties
Crystal system: tetragonal
Size of the total moment (μB/f.u.): 0.91
Calculated total energy (eV/atom): -3.1466

Structure (CIF):
```
data_MgCuS2Cl
_cell_length_a 4.748
_cell_length_b 4.748
_cell_length_c 4.699
_cell_angle_alpha 90.00
_cell_angle_beta 90.00
_cell_angle_gamma 90.00
_space_group_name_H-M_alt 'P 4/m m m'
_space_group_IT_number 123
_space_group_name_Hall '-P 4 2'
loop_
_atom_site_label
_atom_site_fract_x
_atom_site_fract_y
_atom_site_fract_z
Mg1 0.000 0.000 0.000
Cu1 0.500 0.500 0.500
S1 0.000 0.500 0.000
Cl1 0.000 0.000 0.500
```

=====

An optimized crystal structure of Mn2CuCl. Source: the Alexandria database, functional PBEsol.

Properties
Crystal system: cubic
Size of the total moment (μB/f.u.): 0.29
Polymorph energy (0 for the lowest one) (eV per atom): 0.375

Structure (CIF):
```
data_Mn2CuCl
_cell_length_a 6.062
_cell_length_b 6.062
_cell_length_c 6.062
_cell_angle_alpha 90.00
_cell_angle_beta 90.00
_cell_angle_gamma 90.00
_space_group_name_H-M_alt 'F -4 3 m'
_space_group_IT_number 216
_space_group_name_Hall 'F -4 2 3'
loop_
_atom_site_label
_atom_site_fract_x
_atom_site_fract_y
_atom_site_fract_z
Mn1 0.000 0.000 0.000
Mn2 0.250 0.250 0.250
Cu1 0.000 0.000 0.500
Cl1 0.250 0.250 0.750
```

=====

An optimized crystal structure of Mn2CuCl. Source: the Alexandria database, functional PBEsol.

Properties
Crystal system: tetragonal
Size of the total moment (μB/f.u.): 7.91
Polymorph energy (0 for the lowest one) (eV per atom): 0.000

Structure (CIF):
```
data_Mn2CuCl
_cell_length_a 2.921
_cell_length_b 2.921
_cell_length_c 6.815
_cell_angle_alpha 90.00
_cell_angle_beta 90.00
_cell_angle_gamma 90.00
_space_group_name_H-M_alt 'P 4/m m m'
_space_group_IT_number 123
_space_group_name_Hall '-P 4 2'
loop_
_atom_site_label
_atom_site_fract_x
_atom_site_fract_y
_atom_site_fract_z
Mn1 0.000 0.000 0.225
Cu1 0.500 0.500 0.000
Cl1 0.500 0.500 0.500
```

=====

An optimized crystal structure of MnCuPCl2. Source: the Alexandria database, functional PBEsol.

Properties
Crystal system: tetragonal
Size of the total moment (μB/f.u.): 4.32
Calculated total energy (eV/atom): -4.3775

Structure (CIF):
```
data_MnCuPCl2
_cell_length_a 4.442
_cell_length_b 4.442
_cell_length_c 4.882
_cell_angle_alpha 90.00
_cell_angle_beta 90.00
_cell_angle_gamma 90.00
_space_group_name_H-M_alt 'P 4/m m m'
_space_group_IT_number 123
_space_group_name_Hall '-P 4 2'
loop_
_atom_site_label
_atom_site_fract_x
_atom_site_fract_y
_atom_site_fract_z
Mn1 0.000 0.000 0.000
Cu1 0.500 0.500 0.500
P1 0.500 0.500 0.000
Cl1 0.000 0.500 0.500
```

=====

An optimized crystal structure of Mn2CuPtCl. Source: the Alexandria database, functional PBEsol.

Properties
Crystal system: tetragonal
Size of the total moment (μB/f.u.): 9.16
Calculated total energy (eV/atom): -5.4797

Structure (CIF):
```
data_Mn2CuPtCl
_cell_length_a 4.884
_cell_length_b 4.884
_cell_length_c 4.691
_cell_angle_alpha 90.00
_cell_angle_beta 90.00
_cell_angle_gamma 90.00
_space_group_name_H-M_alt 'P 4/m m m'
_space_group_IT_number 123
_space_group_name_Hall '-P 4 2'
loop_
_atom_site_label
_atom_site_fract_x
_atom_site_fract_y
_atom_site_fract_z
Mn1 0.000 0.500 0.000
Cu1 0.000 0.000 0.500
Pt1 0.500 0.500 0.000
Cl1 0.500 0.500 0.500
```

=====

An optimized crystal structure of TaMn2CuCl. Source: the Alexandria database, functional PBEsol.

Properties
Crystal system: tetragonal
Size of the total moment (μB/f.u.): 7.13
Calculated total energy (eV/atom): -6.4563

Structure (CIF):
```
data_TaMn2CuCl
_cell_length_a 4.593
_cell_length_b 4.593
_cell_length_c 4.653
_cell_angle_alpha 90.00
_cell_angle_beta 90.00
_cell_angle_gamma 90.00
_space_group_name_H-M_alt 'P 4/m m m'
_space_group_IT_number 123
_space_group_name_Hall '-P 4 2'
loop_
_atom_site_label
_atom_site_fract_x
_atom_site_fract_y
_atom_site_fract_z
Ta1 0.000 0.000 0.000
Mn1 0.000 0.500 0.500
Cu1 0.000 0.000 0.500
Cl1 0.500 0.500 0.000
```

=====

An optimized crystal structure of YMn2CuCl. Source: the Alexandria database, functional PBEsol.

Properties
Crystal system: tetragonal
Size of the total moment (μB/f.u.): 7.32
Calculated total energy (eV/atom): -5.8660

Structure (CIF):
```
data_YMn2CuCl
_cell_length_a 4.568
_cell_length_b 4.568
_cell_length_c 4.785
_cell_angle_alpha 90.00
_cell_angle_beta 90.00
_cell_angle_gamma 90.00
_space_group_name_H-M_alt 'P 4/m m m'
_space_group_IT_number 123
_space_group_name_Hall '-P 4 2'
loop_
_atom_site_label
_atom_site_fract_x
_atom_site_fract_y
_atom_site_fract_z
Y1 0.000 0.000 0.000
Mn1 0.000 0.500 0.500
Cu1 0.500 0.500 0.500
Cl1 0.500 0.500 0.000
```

=====

An optimized crystal structure of CuMo2Cl. Source: the Alexandria database, functional PBEsol.

Properties
Crystal system: orthorhombic
Size of the total moment (μB/f.u.): 0.00
Polymorph energy (0 for the lowest one) (eV per atom): 0.198

Structure (CIF):
```
data_CuMo2Cl
_cell_length_a 3.069
_cell_length_b 4.448
_cell_length_c 8.491
_cell_angle_alpha 90.00
_cell_angle_beta 90.00
_cell_angle_gamma 90.00
_space_group_name_H-M_alt 'C m m m'
_space_group_IT_number 65
_space_group_name_Hall '-C 2 2'
loop_
_atom_site_label
_atom_site_fract_x
_atom_site_fract_y
_atom_site_fract_z
Cu1 0.000 0.000 0.000
Mo1 0.000 0.500 0.249
Cl1 0.000 0.000 0.500
```

=====

An optimized crystal structure of CuMo2Cl. Source: the Alexandria database, functional PBEsol.

Properties
Crystal system: tetragonal
Size of the total moment (μB/f.u.): 0.00
Polymorph energy (0 for the lowest one) (eV per atom): 0.000

Structure (CIF):
```
data_CuMo2Cl
_cell_length_a 3.173
_cell_length_b 3.173
_cell_length_c 6.073
_cell_angle_alpha 90.00
_cell_angle_beta 90.00
_cell_angle_gamma 90.00
_space_group_name_H-M_alt 'P 4 m m'
_space_group_IT_number 99
loop_
_space_group_symop_operation_xyz
'x,y,z'
'-y,x,z'
'-x,-y,z'
'y,-x,z'
'-x,y,z'
'y,x,z'
'x,-y,z'
'-y,-x,z'
loop_
_atom_site_label
_atom_site_fract_x
_atom_site_fract_y
_atom_site_fract_z
Cu1 0.000 0.000 0.000
Mo1 0.000 0.000 0.442
Mo2 0.500 0.500 0.228
Cl1 0.500 0.500 0.784
```

=====

An optimized crystal structure of Rb2CuMoCl6. Source: the Alexandria database, functional PBEsol.

Properties
Crystal system: cubic
Size of the total moment (μB/f.u.): 3.00
Calculated total energy (eV/atom): -4.2048

Structure (CIF):
```
data_Rb2CuMoCl6
_cell_length_a 9.811
_cell_length_b 9.811
_cell_length_c 9.811
_cell_angle_alpha 90.00
_cell_angle_beta 90.00
_cell_angle_gamma 90.00
_space_group_name_H-M_alt 'F m -3 m'
_space_group_IT_number 225
_space_group_name_Hall '-F 4 2 3'
loop_
_atom_site_label
_atom_site_fract_x
_atom_site_fract_y
_atom_site_fract_z
Rb1 0.250 0.250 0.250
Cu1 0.000 0.000 0.000
Mo1 0.000 0.000 0.500
Cl1 0.000 0.000 0.251
```

=====

An optimized crystal structure of SrCuMo2Cl. Source: the Alexandria database, functional PBEsol.

Properties
Crystal system: tetragonal
Size of the total moment (μB/f.u.): 2.79
Calculated total energy (eV/atom): -5.1092

Structure (CIF):
```
data_SrCuMo2Cl
_cell_length_a 4.477
_cell_length_b 4.477
_cell_length_c 6.411
_cell_angle_alpha 90.00
_cell_angle_beta 90.00
_cell_angle_gamma 90.00
_space_group_name_H-M_alt 'P 4/m m m'
_space_group_IT_number 123
_space_group_name_Hall '-P 4 2'
loop_
_atom_site_label
_atom_site_fract_x
_atom_site_fract_y
_atom_site_fract_z
Sr1 0.000 0.000 0.000
Cu1 0.500 0.500 0.500
Mo1 0.000 0.500 0.500
Cl1 0.500 0.500 0.000
```

=====

An optimized crystal structure of Zr2CuMoCl. Source: the Alexandria database, functional PBEsol.

Properties
Crystal system: tetragonal
Size of the total moment (μB/f.u.): 0.00
Calculated total energy (eV/atom): -6.4861

Structure (CIF):
```
data_Zr2CuMoCl
_cell_length_a 4.926
_cell_length_b 4.926
_cell_length_c 4.696
_cell_angle_alpha 90.00
_cell_angle_beta 90.00
_cell_angle_gamma 90.00
_space_group_name_H-M_alt 'P 4/m m m'
_space_group_IT_number 123
_space_group_name_Hall '-P 4 2'
loop_
_atom_site_label
_atom_site_fract_x
_atom_site_fract_y
_atom_site_fract_z
Zr1 0.000 0.500 0.000
Cu1 0.000 0.000 0.500
Mo1 0.000 0.000 0.000
Cl1 0.500 0.500 0.500
```

=====

- Which formula does entry 7 have?
  YMn2CuCl

=====

- Among the records above, which one has the highest size of the total moment?
  Mn2CuPtCl

=====

Please write out number 2 again, unchanged.
An optimized crystal structure of Mn2CuCl. Source: the Alexandria database, functional PBEsol.

Properties
Crystal system: cubic
Size of the total moment (μB/f.u.): 0.29
Polymorph energy (0 for the lowest one) (eV per atom): 0.375

Structure (CIF):
```
data_Mn2CuCl
_cell_length_a 6.062
_cell_length_b 6.062
_cell_length_c 6.062
_cell_angle_alpha 90.00
_cell_angle_beta 90.00
_cell_angle_gamma 90.00
_space_group_name_H-M_alt 'F -4 3 m'
_space_group_IT_number 216
_space_group_name_Hall 'F -4 2 3'
loop_
_atom_site_label
_atom_site_fract_x
_atom_site_fract_y
_atom_site_fract_z
Mn1 0.000 0.000 0.000
Mn2 0.250 0.250 0.250
Cu1 0.000 0.000 0.500
Cl1 0.250 0.250 0.750
```